Record 1
## KAgHg (meta-GGA SCAN)

Data for KAgHg at its PBEsol-relaxed geometry.

Properties
V (Å³/atom): 28.860
Formation energy (eV/f.u.): -0.4
Energy above the lowest structure with this stoichiometry (meV/atom): 0.0

a b c (Å): 4.8344 4.8344 4.2777
angles (deg): 90.00 90.00 120.00
Last column: nearest neighbours and their distance in Å.
Space group P-6m2 (No. 187)
Asymmetric unit:
K: 0.0000 0.0000 0.0000 [1 per cell]  6 Hg 3.52, 6 Ag 3.52
Ag: 0.3333 0.6667 0.5000 [1 per cell]  3 Hg 2.79
Hg: 0.6667 0.3333 0.5000 [1 per cell]  3 Ag 2.79

***

Record 2
## LaAg4Hg (meta-GGA SCAN)

Data for LaAg4Hg at its PBEsol-relaxed geometry.

Properties
V (Å³/atom): 20.063
Formation energy (eV/f.u.): -1.6

a b c (Å): 7.8380 7.8380 7.8380
angles (deg): 90.00 90.00 90.00
Last column: nearest neighbours and their distance in Å.
Space group F-43m (No. 216)
Asymmetric unit:
La: 0.0000 0.0000 0.0000 [4 per cell]  12 Ag 3.25, 4 Hg 3.39
Ag: 0.1243 0.1243 0.3757 [16 per cell]  6 Ag 2.76-2.79
Hg: 0.2500 0.2500 0.7500 [4 per cell]  12 Ag 3.25, 4 La 3.39

***

Record 3
## La2AgHg2 (meta-GGA SCAN)

Data for La2AgHg2 at its PBEsol-relaxed geometry.

Properties
V (Å³/atom): 26.534
Formation energy (eV/f.u.): -2.6

a b c (Å): 7.5728 7.5728 4.6268
angles (deg): 90.00 90.00 90.00
Last column: nearest neighbours and their distance in Å.
Space group P4/mbm (No. 127)
Asymmetric unit:
La: 0.1596 0.3404 0.0000 [4 per cell]  6 Hg 3.15-3.25, 1 La 3.42
Ag: 0.0000 0.0000 0.5000 [2 per cell]  4 Hg 2.92
Hg: 0.1412 0.6412 0.5000 [4 per cell]  2 Ag 2.92, 1 Hg 3.02, 6 La 3.15-3.25

***

Record 4
## LiAg2Hg (meta-GGA SCAN)

Data for LiAg2Hg at its PBEsol-relaxed geometry.

Properties
V (Å³/atom): 16.908
Formation energy (eV/f.u.): -0.7

a b c (Å): 3.2817 3.2817 6.2799
angles (deg): 90.00 90.00 90.00
Last column: nearest neighbours and their distance in Å.
Space group P4mm (No. 99)
Asymmetric unit:
Li: 0.0000 0.0000 0.0000 [1 per cell]  5 Ag 2.72-3.00, 4 Hg 2.77
Ag: 0.0000 0.0000 0.4779 [1 per cell]  4 Ag 2.81, 4 Hg 2.91, 1 Li 3.00
Ag: 0.5000 0.5000 0.2270 [1 per cell]  4 Li 2.72, 4 Ag 2.81, 1 Hg 2.94
Hg: 0.5000 0.5000 0.7586 [1 per cell]  4 Li 2.77, 5 Ag 2.91-2.94

***

Record 5
## Li3AgHg (meta-GGA SCAN)

Data for Li3AgHg at its PBEsol-relaxed geometry.

Properties
V (Å³/atom): 21.820
Formation energy (eV/f.u.): 0.2

a b c (Å): 4.7783 4.7783 4.7783
angles (deg): 90.00 90.00 90.00
Last column: nearest neighbours and their distance in Å.
Space group Pm-3m (No. 221)
Asymmetric unit:
Li: 0.0000 0.0000 0.5000 [3 per cell]  2 Ag 2.39
Ag: 0.0000 0.0000 0.0000 [1 per cell]  6 Li 2.39
Hg: 0.5000 0.5000 0.5000 [1 per cell]  12 Li 3.38

***

Record 6
## LiAg2Hg (meta-GGA SCAN)

Data for LiAg2Hg at its PBEsol-relaxed geometry.

Properties
V (Å³/atom): 17.029
Formation energy (eV/f.u.): -0.7

a b c (Å): 6.4829 6.4829 6.4829
angles (deg): 90.00 90.00 90.00
Last column: nearest neighbours and their distance in Å.
Space group F-43m (No. 216)
Asymmetric unit:
Li: 0.0000 0.0000 0.0000 [4 per cell]  4 Hg 2.81, 4 Ag 2.81
Ag: 0.0000 0.0000 0.5000 [4 per cell]  4 Hg 2.81, 4 Ag 2.81
Ag: 0.2500 0.2500 0.2500 [4 per cell]  4 Li 2.81, 4 Ag 2.81
Hg: 0.2500 0.2500 0.7500 [4 per cell]  4 Li 2.81, 4 Ag 2.81

***

Record 7
## LiAg2Hg (meta-GGA SCAN)

Data for LiAg2Hg at its PBEsol-relaxed geometry.

Properties
V (Å³/atom): 17.205
Formation energy (eV/f.u.): -0.5

a b c (Å): 2.8596 4.6692 5.1866
angles (deg): 90.00 96.39 90.00
Last column: nearest neighbours and their distance in Å.
Space group P2/m (No. 10)
Asymmetric unit:
Li: 0.0000 0.0000 0.0000 [1 per cell]  4 Ag 2.75, 2 Hg 2.82, 2 Li 2.86
Ag: 0.2232 0.5000 0.7625 [2 per cell]  2 Li 2.75, 5 Ag 2.78-2.90, 2 Hg 2.86
Hg: 0.5000 0.0000 0.5000 [1 per cell]  4 Li 2.82-3.10, 4 Ag 2.86, 2 Hg 2.86

***

Record 8
## LiAgHg2 (meta-GGA SCAN)

Data for LiAgHg2 at its PBEsol-relaxed geometry.

Properties
V (Å³/atom): 18.419
Formation energy (eV/f.u.): -0.6

a b c (Å): 3.0682 3.0682 7.8262
angles (deg): 90.00 90.00 90.00
Last column: nearest neighbours and their distance in Å.
Space group P4mm (No. 99)
Asymmetric unit:
Li: 0.0000 0.0000 0.0000 [1 per cell]  4 Ag 2.76, 4 Hg 2.78, 4 Li 3.07
Ag: 0.5000 0.5000 0.7830 [1 per cell]  4 Li 2.76, 4 Hg 2.96, 4 Ag 3.07
Hg: 0.0000 0.0000 0.5256 [1 per cell]  4 Ag 2.96, 8 Hg 3.07-3.22
Hg: 0.5000 0.5000 0.2216 [1 per cell]  4 Li 2.78, 4 Hg 3.07